1.
Material: LaGd2Te
Method: DFT, GGA-PBE
State: optimized geometry

Cell lengths 3.9363, 3.9363, 8.0205 Å; angles 90.00, 90.00, 90.00 degrees
Fractional coordinates of all 4 atoms:
Gd  0.0000  0.0000  0.2863
Gd  0.0000  0.0000  0.7137
Te  0.5000  0.5000  0.5000
La  0.5000  0.5000  0.0000

Summary:
* total magnetic moment: 14.71 μB/cell
* space-group type: P4/mmm, No. 123
* formation energy without anion corrections: -0.60 eV/atom
* raw total energy: -38.63 eV per cell
* N(E_F): 1.200 states/eV per atom



2.
Material: CsKAu
Method: DFT, GGA-PBE
State: optimized geometry

Cell lengths 8.2630, 4.9815, 4.9815 Å; angles 120.00, 90.00, 90.00 degrees
Fractional coordinates of all 3 atoms:
K  0.2283  0.3333  0.6667
Cs  0.7570  0.6667  0.3333
Au  0.0147  0.0000  0.0000

Summary:
* total magnetic moment: 0.01 μB/cell
* space-group type: P3m1, No. 156
* raw total energy: -5.80 eV per cell
* N(E_F): 0.973 states/eV per atom
* formation enthalpy at 0 K: -0.6 eV per formula unit



3.
Material: YAgMo2
Method: DFT, GGA-PBE
State: optimized geometry

Cell lengths 5.1369, 2.9277, 5.1642 Å; angles 83.80, 90.00, 90.00 degrees
Fractional coordinates of all 4 atoms:
Y  0.5000  0.2500  0.2500
Mo  0.0000  0.9086  0.0157
Mo  0.0000  0.5914  0.4843
Ag  0.5000  0.7500  0.7500

Summary:
* total magnetic moment: 0.00 μB/cell
* space-group type: P2/m, No. 10
* raw total energy: -29.10 eV per cell
* N(E_F): 0.829 states/eV per atom
* offset from the most stable computed form: 1.10 eV per formula unit
* formation enthalpy at 0 K: 1.9 eV per formula unit



4.
Material: NbNi5H6
Method: DFT, GGA-PBE
State: optimized geometry

Cell lengths 4.7319, 4.6918, 4.6551 Å; angles 59.74, 81.33, 72.59 degrees
Fractional coordinates of all 12 atoms:
Ni  0.5000  0.1621  0.6757
Ni  0.5000  0.5000  0.0000
Ni  0.5000  0.8379  0.3243
Ni  0.0000  0.3323  0.3355
Ni  0.0000  0.6677  0.6645
Nb  0.0000  0.0000  0.0000
H  0.2897  0.8933  0.6627
H  0.2897  0.5560  0.3373
H  0.7103  0.1067  0.3373
H  0.2486  0.2924  0.0000
H  0.7514  0.7076  0.0000
H  0.7103  0.4440  0.6627

Summary:
* total magnetic moment: 0.00 μB/cell
* space-group type: C2/m, No. 12
* raw total energy: -59.83 eV per cell
* N(E_F): 0.392 states/eV per atom